# Sb3SeS4 PBE relaxed
data_Sb3SeS4
_chemical_formula_sum 'Sb12 Se4 S16'
_space_group_name_H-M_alt 'C 1 c 1'
_space_group_IT_number 9
_space_group_name_Hall 'C -2yc'
_cell_length_a 14.356
_cell_length_b 6.768
_cell_length_c 10.073
_cell_angle_alpha 90.00
_cell_angle_beta 115.85
_cell_angle_gamma 90.00
loop_
_atom_site_label
_atom_site_type_symbol
_atom_site_fract_x
_atom_site_fract_y
_atom_site_fract_z
Sb1 Sb 0.000 0.007 0.000
Sb2 Sb 0.126 0.489 0.211
Sb3 Sb 0.391 0.021 0.306
Se1 Se 0.308 0.324 0.880
S1 S 0.081 0.343 0.453
S2 S 0.190 0.169 0.166
S3 S 0.417 0.169 0.550
S4 S 0.494 0.335 0.270
# uncorrected formation energy	-1.02	eV per formula unit
# total moment	0.000	μB per cell



# Bi3H2Pd9Au PBE relaxed
data_Bi3H2Pd9Au
_chemical_formula_sum 'Bi3 H2 Pd9 Au1'
_space_group_name_H-M_alt 'P -3 m 1'
_space_group_IT_number 164
_space_group_name_Hall '-P 3 2"'
_cell_length_a 5.6788
_cell_length_b 5.6788
_cell_length_c 9.1866
_cell_angle_alpha 90.00
_cell_angle_beta 90.00
_cell_angle_gamma 120.00
loop_
_atom_site_label
_atom_site_type_symbol
_atom_site_fract_x
_atom_site_fract_y
_atom_site_fract_z
Bi1 Bi 0.0000 0.0000 0.0000
Bi2 Bi 0.3333 0.6667 0.6575
H1 H 0.3333 0.6667 0.1399
Pd1 Pd 0.0000 0.5000 0.0000
Pd2 Pd 0.1680 0.3361 0.2616
Au1 Au 0.0000 0.0000 0.5000
# DFT total energy	-4.6893	eV per atom
# total moment	0.000	μB per cell



# CaHgRh PBE relaxed
data_CaHgRh
_chemical_formula_sum 'Ca1 Hg1 Rh1'
_space_group_name_H-M_alt 'P 3 m 1'
_space_group_IT_number 156
_space_group_name_Hall 'P 3 -2"'
_cell_length_a 4.7016
_cell_length_b 4.7016
_cell_length_c 3.4878
_cell_angle_alpha 90.00
_cell_angle_beta 90.00
_cell_angle_gamma 120.00
loop_
_atom_site_label
_atom_site_type_symbol
_atom_site_fract_x
_atom_site_fract_y
_atom_site_fract_z
Ca1 Ca 0.0000 0.0000 0.0000
Hg1 Hg 0.3333 0.6667 0.5000
Rh1 Rh 0.6667 0.3333 0.4983
# calculated formation energy	-0.30	eV per atom
# total moment	0.000	μB per cell



# La5Pm5Pr PBE relaxed
data_La5Pm5Pr
_chemical_formula_sum 'La5 Pm5 Pr1'
_space_group_name_H-M_alt 'P -6 m 2'
_space_group_IT_number 187
_space_group_name_Hall 'P -6 2'
_cell_length_a 6.3053
_cell_length_b 6.3053
_cell_length_c 11.5072
_cell_angle_alpha 90.00
_cell_angle_beta 90.00
_cell_angle_gamma 120.00
loop_
_atom_site_label
_atom_site_type_symbol
_atom_site_fract_x
_atom_site_fract_y
_atom_site_fract_z
La1 La 0.0000 0.0000 0.2323
La2 La 0.3433 0.1716 0.0000
Pm1 Pm 0.0000 0.0000 0.5000
Pm2 Pm 0.3333 0.6667 0.1755
Pm3 Pm 0.6667 0.3333 0.3340
Pr1 Pr 0.3333 0.6667 0.5000
# calculated formation energy	0.26	eV per atom
# energy above the most stable polymorph in this dataset	14.6	meV per atom
# total moment	0.000	μB per cell



# RbSrIn2I6 PBE relaxed
data_RbSrIn2I6
_chemical_formula_sum 'Rb1 Sr1 In2 I6'
_space_group_name_H-M_alt 'P 1'
_space_group_IT_number 1
_space_group_name_Hall 'P 1'
_cell_length_a 8.414
_cell_length_b 8.420
_cell_length_c 9.198
_cell_angle_alpha 90.01
_cell_angle_beta 117.21
_cell_angle_gamma 119.97
loop_
_atom_site_label
_atom_site_type_symbol
_atom_site_fract_x
_atom_site_fract_y
_atom_site_fract_z
Rb1 Rb 0.000 0.000 0.000
Sr1 Sr 0.032 0.516 0.548
In1 In 0.395 0.197 0.594
In2 In 0.411 0.706 0.118
I1 I 0.245 0.436 0.352
I2 I 0.287 0.350 0.827
I3 I 0.477 0.938 0.827
I4 I 0.543 0.106 0.352
I5 I 0.888 0.539 0.827
I6 I 0.915 0.809 0.351
# uncorrected formation energy	-10.13	eV per formula unit
# total moment	0.000	μB per cell



# La2Pm4Sm5 PBE relaxed
data_La2Pm4Sm5
_chemical_formula_sum 'La4 Pm8 Sm10'
_space_group_name_H-M_alt 'I m m m'
_space_group_IT_number 71
_space_group_name_Hall '-I 2 2'
_cell_length_a 3.561
_cell_length_b 9.352
_cell_length_c 23.662
_cell_angle_alpha 90.00
_cell_angle_beta 90.00
_cell_angle_gamma 90.00
loop_
_atom_site_label
_atom_site_type_symbol
_atom_site_fract_x
_atom_site_fract_y
_atom_site_fract_z
La1 La 0.000 0.000 0.232
Pm1 Pm 0.000 0.000 0.097
Pm2 Pm 0.000 0.304 0.500
Sm1 Sm 0.000 0.193 0.358
Sm2 Sm 0.000 0.500 0.000
# calculated formation energy	0.20	eV per atom
# energy above the most stable polymorph in this dataset	75.5	meV per atom
# total moment	0.000	μB per cell



# Ti2B2Pd PBE relaxed
data_Ti2B2Pd
_chemical_formula_sum 'Ti4 B4 Pd2'
_space_group_name_H-M_alt 'P 4/m b m'
_space_group_IT_number 127
_space_group_name_Hall '-P 4 2ab'
_cell_length_a 6.834
_cell_length_b 6.834
_cell_length_c 2.646
_cell_angle_alpha 90.00
_cell_angle_beta 90.00
_cell_angle_gamma 90.00
loop_
_atom_site_label
_atom_site_type_symbol
_atom_site_fract_x
_atom_site_fract_y
_atom_site_fract_z
Ti1 Ti 0.137 0.363 0.000
B1 B 0.169 0.669 0.500
Pd1 Pd 0.000 0.000 0.000
# calculated formation energy	0.14	eV per atom
# energy above the most stable polymorph in this dataset	838.7	meV per atom
# total moment	0.000	μB per cell



# Li3CuSn2 PBE relaxed
data_Li3CuSn2
_chemical_formula_sum 'Li12 Cu4 Sn8'
_space_group_name_H-M_alt 'I b a m'
_space_group_IT_number 72
_space_group_name_Hall '-I 2 2c'
_cell_length_a 5.257
_cell_length_b 17.204
_cell_length_c 5.038
_cell_angle_alpha 90.00
_cell_angle_beta 90.00
_cell_angle_gamma 90.00
loop_
_atom_site_label
_atom_site_type_symbol
_atom_site_fract_x
_atom_site_fract_y
_atom_site_fract_z
Li1 Li 0.000 0.000 0.250
Li2 Li 0.170 0.204 0.000
Cu1 Cu 0.000 0.500 0.250
Sn1 Sn 0.181 0.374 0.000
# calculated formation energy	-0.26	eV per atom
# energy above the most stable polymorph in this dataset	0.0	meV per atom
# total moment	0.000	μB per cell